[1]
Computed, not measured: an optimized crystal structure of Co2CuMo at the GGA-PBE level of DFT.

Computed properties:
- DOS(E_F) (states/eV per atom) = 1.225
- polymorph energy (0 for the lowest one) (meV per atom) = 224
- energy of formation from the pure elements (meV/atom) = 299.0
- energy (eV/atom) = -6.986

Lattice parameters (Å, degrees): 5.838 5.838 5.838 90.00 90.00 90.00
Element x y z (fractional)
1 Co 0.000 0.000 0.000
2 Co 0.000 0.500 0.500
3 Co 0.250 0.250 0.250
4 Co 0.250 0.750 0.750
5 Co 0.500 0.000 0.500
6 Co 0.500 0.500 0.000
7 Co 0.750 0.250 0.750
8 Co 0.750 0.750 0.250
9 Cu 0.000 0.000 0.500
10 Cu 0.000 0.500 0.000
11 Cu 0.500 0.000 0.000
12 Cu 0.500 0.500 0.500
13 Mo 0.250 0.250 0.750
14 Mo 0.250 0.750 0.250
15 Mo 0.750 0.250 0.250
16 Mo 0.750 0.750 0.750



[2]
Computed, not measured: an optimized crystal structure of Co2CuMo at the GGA-PBE level of DFT.

Computed properties:
- DOS(E_F) (states/eV per atom) = 0.751
- polymorph energy (0 for the lowest one) (meV per atom) = 40
- energy of formation from the pure elements (meV/atom) = 114.4
- energy (eV/atom) = -7.170

Lattice parameters (Å, degrees): 2.662 3.443 5.287 90.00 90.00 90.00
Element x y z (fractional)
1 Co 0.000 0.000 0.241
2 Co 0.000 0.000 0.759
3 Cu 0.500 0.500 0.000
4 Mo 0.500 0.500 0.500



[3]
Computed, not measured: an optimized crystal structure of CoCuMo2N at the GGA-PBE level of DFT.

Computed properties:
- DOS(E_F) (states/eV per atom) = 0.653
- energy relative to the elements, uncorrected (eV per formula unit) = 0.0
- energy (eV/atom) = -8.235

Lattice parameters (Å, degrees): 4.078 4.078 3.738 90.00 90.00 90.00
Element x y z (fractional)
1 Co 0.000 0.000 0.000
2 Cu 0.500 0.500 0.000
3 Mo 0.000 0.500 0.500
4 Mo 0.500 0.000 0.500
5 N 0.000 0.000 0.500



[4]
Computed, not measured: an optimized crystal structure of NaCoCuMo2 at the GGA-PBE level of DFT.

Computed properties:
- DOS(E_F) (states/eV per atom) = 1.218
- energy of formation from the pure elements (meV/atom) = 1201.1
- energy (eV/atom) = -5.636

Lattice parameters (Å, degrees): 4.470 4.470 4.666 90.00 90.00 90.00
Element x y z (fractional)
1 Na 0.000 0.000 0.000
2 Co 0.500 0.500 0.500
3 Cu 0.500 0.500 0.000
4 Mo 0.000 0.500 0.500
5 Mo 0.500 0.000 0.500